Entry from the Alexandria database: K2RbCr after structural relaxation (PBE).

```
data_K2RbCr
_chemical_formula_sum 'K8 Rb4 Cr4'
_symmetry_space_group_name_H-M 'I -4 2 d'
_symmetry_Int_Tables_number 122
_symmetry_space_group_name_Hall 'I -4 2bw'
_cell_length_a 5.7698
_cell_length_b 5.7698
_cell_length_c 27.0940
_cell_angle_alpha 90.00
_cell_angle_beta 90.00
_cell_angle_gamma 90.00
loop_
_atom_site_label
_atom_site_fract_x
_atom_site_fract_y
_atom_site_fract_z
K1 0.2188 0.2500 0.1250
Rb1 0.0000 0.0000 0.5000
Cr1 0.0000 0.0000 0.0000
```

Results
Relative energy among the computed polymorphs ... 1.91 kcal/mol of atoms
Uncorrected energy ... -2.455 eV/atom
DOS at the Fermi energy ... 0.594 states/eV/atom
M_tot ... 21.36 Bohr magnetons per cell
Formation enthalpy at 0 K ... 0.742 eV per atom